A plane-wave DFT calculation with GGA-PBE was carried out for an optimized crystal structure of MnInAu2.

Cell lengths 3.607, 3.607, 5.785 Å; angles 90.00, 90.00, 90.00 degrees
Each line ends with the local moment (μB).
Fractional coordinates of all 4 atoms:
Mn 0.500 0.500 0.779  3.97
In 0.000 0.000 0.486  0.00
Au 0.000 0.000 0.974  0.08
Au 0.500 0.500 0.260  0.05

Values from the calculation:
Energy relative to the elements ... -0.1 eV per formula unit
Total energy ... -18.5 eV for the cell shown
M_tot ... 4.4 μB/cell